w:
CoH3Pb: relaxed, GGA-PBE.

Geometry as CIF:
```
data_CoH3Pb
_space_group_name_H-M_alt 'P 1'
_space_group_IT_number 1
_cell_length_a 3.617
_cell_length_b 3.617
_cell_length_c 3.617
_cell_angle_alpha 90.00
_cell_angle_beta 90.00
_cell_angle_gamma 90.00
loop_
_space_group_symop_operation_xyz
'x,y,z'
loop_
_atom_site_label
_atom_site_type_symbol
_atom_site_fract_x
_atom_site_fract_y
_atom_site_fract_z
Pb1 Pb 0.500 0.500 0.500
H1 H 0.000 0.500 0.000
H2 H 0.000 0.000 0.500
H3 H 0.500 0.000 0.000
Co1 Co 0.000 0.000 0.000
```

- density of states at the Fermi level (states/eV/atom) = 0.311
- magnetic moment (μB/f.u.) = 0.00
- SG = Pm-3m (221)


x:
CoH3Pb: relaxed, GGA-PBE.

Geometry as CIF:
```
data_CoH3Pb
_space_group_name_H-M_alt 'P 1'
_space_group_IT_number 1
_cell_length_a 4.116
_cell_length_b 4.116
_cell_length_c 4.116
_cell_angle_alpha 90.00
_cell_angle_beta 90.00
_cell_angle_gamma 90.00
loop_
_space_group_symop_operation_xyz
'x,y,z'
loop_
_atom_site_label
_atom_site_type_symbol
_atom_site_fract_x
_atom_site_fract_y
_atom_site_fract_z
Pb1 Pb 0.000 0.000 0.000
H1 H 0.000 0.500 0.000
H2 H 0.000 0.000 0.500
H3 H 0.500 0.000 0.000
Co1 Co 0.500 0.500 0.500
```

- density of states at the Fermi level (states/eV/atom) = 0.584
- magnetic moment (μB/f.u.) = 2.29
- SG = Pm-3m (221)


w is favored, and the nearest alternative lies 89.7 kJ/mol of atoms above it.